--- P ---
A geometry-optimized BeRu3W structure, computed with PBE.

The structure in extended XYZ format:
```
5
Lattice="4.069 0.000 0.000 0.000 4.069 0.000 0.000 0.000 4.069" Properties=species:S:1:pos:R:3 pbc="T T T"
W 2.035 2.035 2.035
Ru 2.035 0.000 0.000
Ru 0.000 2.035 0.000
Ru 0.000 0.000 2.035
Be 0.000 0.000 0.000
```

--- Q ---
A geometry-optimized BeRu3W structure, computed with PBE.

The structure in extended XYZ format:
```
5
Lattice="4.661 0.000 0.000 0.000 4.661 0.000 0.000 0.000 4.661" Properties=species:S:1:pos:R:3 pbc="T T T"
Ru 0.000 2.331 0.000
Ru 0.000 0.000 2.331
Ru 2.331 0.000 0.000
W 0.000 0.000 0.000
Be 2.331 2.331 2.331
```

It is P that is the most stable of them.

--- P ---
A geometry-optimized YBeRu3 structure, computed with PBE.

The structure in extended XYZ format:
```
5
Lattice="-1.159 1.575 -4.460 -0.978 -4.573 -1.360 -4.628 0.572 1.405" Properties=species:S:1:pos:R:3 pbc="T T T"
Ru -0.489 -2.286 -0.680
Ru -2.314 0.286 0.702
Ru -0.580 0.787 -2.230
Be -3.383 -1.213 -2.208
Y 0.000 0.000 0.000
```

--- Q ---
A geometry-optimized YBeRu3 structure, computed with PBE.

The structure in extended XYZ format:
```
5
Lattice="4.270 0.000 0.000 0.000 4.270 0.000 0.000 0.000 4.270" Properties=species:S:1:pos:R:3 pbc="T T T"
Ru 0.000 0.000 2.135
Ru 2.135 0.000 0.000
Ru 0.000 2.135 0.000
Y 2.135 2.135 2.135
Be 0.000 0.000 0.000
```

It is Q that is the most stable of them.

--- P ---
A geometry-optimized YBe2Ru2 structure, computed with PBE.

The structure in extended XYZ format:
```
10
Lattice="-3.743 0.627 0.883 -0.588 -3.845 0.235 4.426 1.839 8.854" Properties=species:S:1:pos:R:3 pbc="T T T"
Ru -1.871 0.313 0.442
Ru -0.294 -1.922 0.118
Ru -0.770 -1.467 6.371
Ru 0.865 0.088 3.602
Be 0.318 0.032 1.325
Be -0.223 -1.411 8.647
Be -0.741 0.428 5.148
Be 0.836 -1.807 4.824
Y 1.686 0.172 7.023
Y -1.591 -1.551 2.950
```

--- Q ---
A geometry-optimized YBe2Ru2 structure, computed with PBE.

The structure in extended XYZ format:
```
5
Lattice="-1.932 1.999 2.979 -3.568 -1.428 -1.356 -2.330 -3.321 3.504" Properties=species:S:1:pos:R:3 pbc="T T T"
Be -4.324 -2.232 1.480
Be -3.506 -0.518 3.647
Ru -2.637 -0.685 1.536
Ru -5.193 -2.065 3.591
Y 0.000 0.000 0.000
```

It is Q that is the most stable of them.

--- P ---
A geometry-optimized YBe2Ru2 structure, computed with PBE.

The structure in extended XYZ format:
```
10
Lattice="6.626 0.000 0.000 0.000 6.626 0.000 0.000 0.000 3.146" Properties=species:S:1:pos:R:3 pbc="T T T"
Y 3.313 3.313 0.000
Y 0.000 0.000 0.000
Be 4.052 0.739 0.000
Be 2.574 5.887 0.000
Be 5.887 4.052 0.000
Be 0.739 2.574 0.000
Ru 2.238 1.075 1.573
Ru 4.388 5.551 1.573
Ru 1.075 4.388 1.573
Ru 5.551 2.238 1.573
```

--- Q ---
A geometry-optimized YBe2Ru2 structure, computed with PBE.

The structure in extended XYZ format:
```
10
Lattice="6.992 0.000 0.000 0.000 6.992 0.000 0.000 0.000 2.891" Properties=species:S:1:pos:R:3 pbc="T T T"
Be 2.527 0.969 1.446
Be 4.466 6.023 1.446
Be 0.969 4.466 1.446
Be 6.023 2.527 1.446
Ru 6.012 4.477 0.000
Ru 4.477 0.981 0.000
Ru 0.981 2.516 0.000
Ru 2.516 6.012 0.000
Y 3.496 3.496 0.000
Y 0.000 0.000 0.000
```

It is P that is the most stable of them.

--- P ---
A geometry-optimized BeZnRu structure, computed with PBE.

The structure in extended XYZ format:
```
3
Lattice="6.289 0.021 -0.015 5.520 2.543 0.030 0.769 -0.845 2.376" Properties=species:S:1:pos:R:3 pbc="T T T"
Zn 8.063 1.408 0.816
Be 11.725 2.538 0.033
Ru 4.598 0.337 1.557
```

--- Q ---
A geometry-optimized BeZnRu structure, computed with PBE.

The structure in extended XYZ format:
```
3
Lattice="3.780 0.000 0.000 1.890 3.273 0.000 1.890 1.091 3.086" Properties=species:S:1:pos:R:3 pbc="T T T"
Be 5.670 3.273 2.315
Ru 0.000 0.000 0.000
Zn 3.780 2.182 1.543
```

--- R ---
A geometry-optimized BeZnRu structure, computed with PBE.

The structure in extended XYZ format:
```
3
Lattice="3.972 0.000 0.000 1.986 3.440 0.000 1.986 1.147 3.243" Properties=species:S:1:pos:R:3 pbc="T T T"
Ru 5.958 3.440 2.433
Be 3.972 2.293 1.622
Zn 0.000 0.000 0.000
```

--- S ---
A geometry-optimized BeZnRu structure, computed with PBE.

The structure in extended XYZ format:
```
3
Lattice="4.818 -0.003 0.000 3.077 3.707 0.000 -3.947 -1.852 2.049" Properties=species:S:1:pos:R:3 pbc="T T T"
Zn 5.221 2.450 0.000
Be 7.762 3.642 0.000
Ru 2.805 1.316 0.000
```

It is S that is the most stable of them.

--- P ---
A geometry-optimized Be3ZnRu structure, computed with PBE.

The structure in extended XYZ format:
```
5
Lattice="-0.188 -1.700 -3.555 3.698 1.153 -0.747 1.361 -3.368 1.538" Properties=species:S:1:pos:R:3 pbc="T T T"
Be -0.094 -0.850 -1.778
Be 1.849 0.577 -0.374
Be 0.681 -1.684 0.769
Zn 0.000 0.000 0.000
Ru 2.435 -1.957 -1.382
```

--- Q ---
A geometry-optimized Be3ZnRu structure, computed with PBE.

The structure in extended XYZ format:
```
5
Lattice="4.165 0.000 0.000 0.000 4.165 0.000 0.000 0.000 4.165" Properties=species:S:1:pos:R:3 pbc="T T T"
Ru 0.000 0.000 0.000
Be 0.000 2.083 0.000
Be 2.083 0.000 0.000
Be 0.000 0.000 2.083
Zn 2.083 2.083 2.083
```

It is Q that is the most stable of them.

--- P ---
A geometry-optimized ZrBeRu structure, computed with PBE.

The structure in extended XYZ format:
```
12
Lattice="-0.335 -3.161 1.995 -1.418 -1.716 -2.956 12.206 -3.652 -3.734" Properties=species:S:1:pos:R:3 pbc="T T T"
Be 5.394 -2.684 -3.345
Be -0.168 -1.580 0.998
Be 5.935 -3.407 -0.869
Be -0.709 -0.858 -1.478
Zr 7.286 -4.881 -2.977
Zr 10.147 -3.036 -3.104
Zr 2.060 -0.616 -0.630
Zr 3.167 -3.648 -1.717
Ru 9.961 -5.681 -3.795
Ru 0.492 -2.848 -0.899
Ru 7.472 -2.236 -2.285
Ru 4.735 -1.417 -1.448
```

--- Q ---
A geometry-optimized ZrBeRu structure, computed with PBE.

The structure in extended XYZ format:
```
3
Lattice="3.319 0.000 0.000 -1.659 2.874 0.000 0.000 0.000 4.883" Properties=species:S:1:pos:R:3 pbc="T T T"
Be 0.000 0.000 0.235
Zr 1.659 0.958 3.302
Ru 0.000 1.916 1.346
```

It is P that is the most stable of them.

--- P ---
A geometry-optimized ZrBe2Ru2 structure, computed with PBE.

The structure in extended XYZ format:
```
10
Lattice="-4.251 -3.720 -3.823 4.511 -5.116 -0.037 -1.204 -1.079 2.389" Properties=species:S:1:pos:R:3 pbc="T T T"
Be -2.634 -5.584 -2.109
Be 1.690 -4.332 0.636
Be -1.504 -2.595 -0.189
Be 0.560 -7.321 -1.284
Ru 0.978 -2.355 -0.571
Ru 2.348 -5.688 -1.386
Ru -2.087 -3.148 -2.474
Ru -0.718 -6.481 -3.290
Zr 0.130 -4.418 -1.930
Zr 0.000 0.000 0.000
```

--- Q ---
A geometry-optimized ZrBe2Ru2 structure, computed with PBE.

The structure in extended XYZ format:
```
5
Lattice="-3.511 -1.490 0.798 -0.024 -1.796 -3.458 0.227 -5.326 0.570" Properties=species:S:1:pos:R:3 pbc="T T T"
Ru -2.065 -6.000 -1.260
Ru -1.243 -2.611 -0.830
Be -2.526 -4.229 0.019
Be -0.782 -4.382 -2.109
Zr 0.000 0.000 0.000
```

--- R ---
A geometry-optimized ZrBe2Ru2 structure, computed with PBE.

The structure in extended XYZ format:
```
10
Lattice="-0.132 4.131 5.021 -5.771 2.239 -1.994 -1.409 -2.115 1.703" Properties=species:S:1:pos:R:3 pbc="T T T"
Be -2.236 1.337 -0.189
Be -5.158 3.571 0.168
Be -0.746 2.799 2.859
Be -3.667 5.033 3.217
Zr 0.000 0.000 0.000
Zr -2.952 3.185 1.514
Ru -2.730 3.122 4.367
Ru -4.582 1.132 0.363
Ru -1.718 0.690 2.183
Ru -5.594 3.565 2.547
```

It is R that is the most stable of them.